VASP calculation (PBE-GGA) on a geometry-optimized Ta2Ni structure.

For the energy of formation, the calculation gives 3.3 kcal/mol of atoms. The total energy comes out at -29.057 eV for the cell shown. Its crystal system is trigonal.

Lattice parameters (Å, degrees): 2.8766 2.8766 6.7995 90.00 90.00 120.00
With the nearest neighbours (Å) after each atom.
Space group P-3m1 (No. 164)
Unique sites:
Ta (0.3333, 0.6667, 0.3119) x2  3 Ni 2.69, 6 Ta 2.88
Ni (0.0000, 0.0000, 0.0000) x1  6 Ta 2.69, 6 Ni 2.88